CdPtPb2: relaxed, PBE-GGA.

Cell lengths 6.309, 6.309, 3.793 Å; angles 90.00, 90.00, 129.66 degrees
Atoms (fractional coordinates):
Cd  0.000  0.000  0.000
Pt  0.500  0.500  0.000
Pb  0.324  0.676  0.500
Pb  0.676  0.324  0.500

Output
SG: Cmmm (65)
E_form: -0.0885 eV/atom
density of states at the Fermi level: 0.953 states/eV/f.u.
magnetic moment: 0.000 μB per atom